Entry 1:
The following is a PBE-GGA calculation of an optimized crystal structure of Sc2TiBr, from the Alexandria database.

Cell: 9.165 9.165 9.165 Å, 21.02 21.02 21.02°
Fractional coordinates of all 4 atoms:
Sc: 0.249 0.249 0.249
Sc: 0.751 0.751 0.751
Ti: 0.000 0.000 0.000
Br: 0.500 0.500 0.500

## Properties
Space-group type: R-3m, No. 166
Total energy, eV for the cell shown: -23.66


Entry 2:
The following is a PBE-GGA calculation of an optimized crystal structure of ScTi2Br2, from the Alexandria database.

Cell: 5.544 5.544 5.544 Å, 127.78 127.78 76.98°
Fractional coordinates of all 5 atoms:
Sc: 0.000 0.000 0.000
Ti: 0.378 0.378 0.000
Ti: 0.622 0.622 0.000
Br: 0.250 0.750 0.500
Br: 0.750 0.250 0.500

## Properties
Space-group type: I4/mmm, No. 139
Total energy, eV for the cell shown: -25.51


Entry 3:
The following is a PBE-GGA calculation of an optimized crystal structure of ScTi2Br2, from the Alexandria database.

Cell: 7.820 7.820 3.170 Å, 90.00 90.00 90.00°
Fractional coordinates of all 10 atoms:
Sc: 0.000 0.000 0.000
Sc: 0.500 0.500 0.000
Ti: 0.150 0.350 0.000
Ti: 0.350 0.850 0.000
Ti: 0.650 0.150 0.000
Ti: 0.850 0.650 0.000
Br: 0.145 0.645 0.500
Br: 0.355 0.145 0.500
Br: 0.645 0.855 0.500
Br: 0.855 0.355 0.500

## Properties
Space-group type: P4/mbm, No. 127
Total energy, eV for the cell shown: -48.81


Entry 4:
The following is a PBE-GGA calculation of an optimized crystal structure of ScTiBr3, from the Alexandria database.

Cell: 5.217 5.217 5.217 Å, 90.00 90.00 90.00°
Fractional coordinates of all 5 atoms:
Sc: 0.000 0.000 0.000
Ti: 0.500 0.500 0.500
Br: 0.000 0.500 0.500
Br: 0.500 0.000 0.500
Br: 0.500 0.500 0.000

## Properties
Space-group type: Pm-3m, No. 221
Total energy, eV for the cell shown: -21.31


Entry 5:
The following is a PBE-GGA calculation of an optimized crystal structure of Sc2TiBr, from the Alexandria database.

Cell: 4.997 4.997 4.997 Å, 60.00 60.00 60.00°
Fractional coordinates of all 4 atoms:
Sc: 0.250 0.250 0.250
Sc: 0.750 0.750 0.750
Ti: 0.000 0.000 0.000
Br: 0.500 0.500 0.500

## Properties
Space-group type: Fm-3m, No. 225
Total energy, eV for the cell shown: -21.22


Entry 6:
The following is a PBE-GGA calculation of an optimized crystal structure of Sc2TiBr, from the Alexandria database.

Cell: 6.311 6.311 6.311 Å, 102.13 102.13 125.42°
Fractional coordinates of all 8 atoms:
Sc: 0.073 0.625 0.948
Sc: 0.375 0.323 0.448
Sc: 0.677 0.125 0.052
Sc: 0.875 0.927 0.552
Ti: 0.250 0.750 0.500
Ti: 0.500 0.500 0.000
Br: 0.000 0.000 0.000
Br: 0.750 0.250 0.500

## Properties
Space-group type: I-42d, No. 122
Total energy, eV for the cell shown: -43.39


Entry 7:
The following is a PBE-GGA calculation of an optimized crystal structure of ScTi3Br, from the Alexandria database.

Cell: 4.919 4.919 4.919 Å, 90.00 90.00 90.00°
Fractional coordinates of all 5 atoms:
Sc: 0.000 0.000 0.000
Ti: 0.000 0.000 0.500
Ti: 0.000 0.500 0.000
Ti: 0.500 0.000 0.000
Br: 0.500 0.500 0.500

## Properties
Space-group type: Pm-3m, No. 221
Total energy, eV for the cell shown: -25.28


Entry 8:
The following is a PBE-GGA calculation of an optimized crystal structure of ScTiBr2, from the Alexandria database.

Cell: 9.348 9.348 9.348 Å, 21.07 21.07 21.07°
Fractional coordinates of all 4 atoms:
Sc: 0.000 0.000 0.000
Ti: 0.500 0.500 0.500
Br: 0.403 0.403 0.403
Br: 0.597 0.597 0.597

## Properties
Space-group type: R-3m, No. 166
Total energy, eV for the cell shown: -19.63


Entry 9:
The following is a PBE-GGA calculation of an optimized crystal structure of ScTiBr2, from the Alexandria database.

Cell: 9.173 9.173 9.173 Å, 149.94 149.94 43.03°
Fractional coordinates of all 8 atoms:
Sc: 0.000 0.000 0.000
Sc: 0.750 0.250 0.500
Ti: 0.250 0.750 0.500
Ti: 0.500 0.500 0.000
Br: 0.132 0.625 0.007
Br: 0.375 0.382 0.507
Br: 0.618 0.125 0.993
Br: 0.875 0.868 0.493

## Properties
Space-group type: I-42d, No. 122
Total energy, eV for the cell shown: -38.00


Entry 10:
The following is a PBE-GGA calculation of an optimized crystal structure of ScTi3Br, from the Alexandria database.

Cell: 4.711 4.711 4.711 Å, 90.00 90.00 90.00°
Fractional coordinates of all 5 atoms:
Sc: 0.000 0.000 0.000
Ti: 0.000 0.500 0.500
Ti: 0.500 0.000 0.500
Ti: 0.500 0.500 0.000
Br: 0.500 0.500 0.500

## Properties
Space-group type: Pm-3m, No. 221
Total energy, eV for the cell shown: -30.21


Entry 11:
The following is a PBE-GGA calculation of an optimized crystal structure of Sc2TiWBr, from the Alexandria database.

Cell: 4.846 4.846 4.696 Å, 90.00 90.00 90.00°
Fractional coordinates of all 5 atoms:
Sc: 0.000 0.500 0.000
Sc: 0.500 0.000 0.000
Ti: 0.000 0.000 0.500
W: 0.500 0.500 0.500
Br: 0.500 0.500 0.000

## Properties
Space-group type: P4/mmm, No. 123
Total energy, eV for the cell shown: -31.25


Entry 12:
The following is a PBE-GGA calculation of an optimized crystal structure of ScTiZnBr2, from the Alexandria database.

Cell: 5.062 5.062 5.296 Å, 90.00 90.00 90.00°
Fractional coordinates of all 5 atoms:
Sc: 0.000 0.000 0.000
Ti: 0.500 0.500 0.000
Zn: 0.500 0.500 0.500
Br: 0.000 0.500 0.500
Br: 0.500 0.000 0.500

## Properties
Space-group type: P4/mmm, No. 123
Total energy, eV for the cell shown: -16.21


Entry 13:
The following is a PBE-GGA calculation of an optimized crystal structure of ScTlBr3, from the Alexandria database.

Cell: 5.821 5.821 5.821 Å, 90.00 90.00 90.00°
Fractional coordinates of all 5 atoms:
Sc: 0.000 0.000 0.000
Tl: 0.500 0.500 0.500
Br: 0.000 0.500 0.500
Br: 0.500 0.000 0.500
Br: 0.500 0.500 0.000

## Properties
Space-group type: Pm-3m, No. 221
Total energy, eV for the cell shown: -14.47


Entry 14:
The following is a PBE-GGA calculation of an optimized crystal structure of ScTlBr, from the Alexandria database.

Cell: 4.821 4.821 3.830 Å, 90.00 90.00 120.00°
Fractional coordinates of all 3 atoms:
Sc: 0.000 0.000 0.000
Tl: 0.667 0.333 0.500
Br: 0.333 0.667 0.000

## Properties
Space-group type: P-6m2, No. 187
Total energy, eV for the cell shown: -11.58


Entry 15:
The following is a PBE-GGA calculation of an optimized crystal structure of Sc2Tl2Br, from the Alexandria database.

Cell: 7.271 7.271 4.694 Å, 90.00 90.00 90.00°
Fractional coordinates of all 10 atoms:
Sc: 0.158 0.342 0.000
Sc: 0.342 0.842 0.000
Sc: 0.658 0.158 0.000
Sc: 0.842 0.658 0.000
Tl: 0.151 0.651 0.500
Tl: 0.349 0.151 0.500
Tl: 0.651 0.849 0.500
Tl: 0.849 0.349 0.500
Br: 0.000 0.000 0.000
Br: 0.500 0.500 0.000

## Properties
Space-group type: P4/mbm, No. 127
Total energy, eV for the cell shown: -42.90


Entry 16:
The following is a PBE-GGA calculation of an optimized crystal structure of ScTlBr, from the Alexandria database.

Cell: 4.959 4.959 4.959 Å, 60.00 60.00 60.00°
Fractional coordinates of all 3 atoms:
Sc: 0.000 0.000 0.000
Tl: 0.500 0.500 0.500
Br: 0.750 0.750 0.750

## Properties
Space-group type: F-43m, No. 216
Total energy, eV for the cell shown: -10.20


Entry 17:
The following is a PBE-GGA calculation of an optimized crystal structure of ScTlBr, from the Alexandria database.

Cell: 7.670 7.670 6.373 Å, 90.00 90.00 153.50°
Fractional coordinates of all 6 atoms:
Sc: 0.125 0.875 0.500
Sc: 0.875 0.125 0.000
Tl: 0.466 0.534 0.680
Tl: 0.534 0.466 0.180
Br: 0.278 0.722 0.235
Br: 0.722 0.278 0.735

## Properties
Space-group type: Cmc2_1, No. 36
Total energy, eV for the cell shown: -24.84


Entry 18:
The following is a PBE-GGA calculation of an optimized crystal structure of Sc2TlBr, from the Alexandria database.

Cell: 3.534 4.695 5.790 Å, 90.00 90.00 90.00°
Fractional coordinates of all 4 atoms:
Sc: 0.000 0.000 0.000
Sc: 0.500 0.500 0.500
Tl: 0.000 0.000 0.500
Br: 0.500 0.500 0.000

## Properties
Space-group type: Pmmm, No. 47
Total energy, eV for the cell shown: -18.73


Entry 19:
The following is a PBE-GGA calculation of an optimized crystal structure of ScTl3Br, from the Alexandria database.

Cell: 5.837 5.837 5.837 Å, 90.00 90.00 90.00°
Fractional coordinates of all 5 atoms:
Sc: 0.000 0.000 0.000
Tl: 0.000 0.000 0.500
Tl: 0.000 0.500 0.000
Tl: 0.500 0.000 0.000
Br: 0.500 0.500 0.500

## Properties
Space-group type: Pm-3m, No. 221
Total energy, eV for the cell shown: -14.21


Entry 20:
The following is a PBE-GGA calculation of an optimized crystal structure of ScTlBr, from the Alexandria database.

Cell: 7.986 7.986 7.986 Å, 155.42 155.42 35.04°
Fractional coordinates of all 3 atoms:
Sc: 0.000 0.000 0.000
Tl: 0.636 0.636 0.000
Br: 0.395 0.395 0.000

## Properties
Space-group type: I4mm, No. 107
Total energy, eV for the cell shown: -12.05